No. 1
# SrPr4Se6, optimized geometry, DFT PBE
# DOS(E_F) (states/eV/f.u.): 3.626
# Formation energy without anion corrections (eV per atom): -1.895
data_SrPr4Se6
_cell_length_a 4.2537
_cell_length_b 14.0738
_cell_length_c 21.7783
_cell_angle_alpha 90.00
_cell_angle_beta 90.00
_cell_angle_gamma 90.00
_symmetry_space_group_name_H-M 'C m c m'
_symmetry_Int_Tables_number 63
_symmetry_space_group_name_Hall '-C 2c 2'
loop_
_atom_site_label
_atom_site_type_symbol
_atom_site_fract_x
_atom_site_fract_y
_atom_site_fract_z
Sr1 Sr 0.0000 0.1588 0.2500
Pr1 Pr 0.0000 0.0924 0.6302
Pr2 Pr 0.0000 0.3618 0.5406
Se1 Se 0.0000 0.0000 0.0000
Se2 Se 0.0000 0.1839 0.7500
Se3 Se 0.0000 0.2702 0.0879
Se4 Se 0.0000 0.4538 0.6643



No. 2
# SrPrSe2, optimized geometry, DFT PBE
# DOS(E_F) (states/eV/f.u.): 2.312
# Formation energy without anion corrections (eV per atom): -1.843
# Distance to the lowest polymorph of the same formula (meV/atom): 82
data_SrPrSe2
_cell_length_a 4.2345
_cell_length_b 4.2345
_cell_length_c 22.7080
_cell_angle_alpha 90.00
_cell_angle_beta 90.00
_cell_angle_gamma 120.00
_symmetry_space_group_name_H-M 'R 3 m'
_symmetry_Int_Tables_number 160
_symmetry_space_group_name_Hall 'R 3 -2"'
loop_
_atom_site_label
_atom_site_type_symbol
_atom_site_fract_x
_atom_site_fract_y
_atom_site_fract_z
Sr1 Sr 0.0000 0.0000 0.0000
Pr1 Pr 0.0000 0.0000 0.8267
Se1 Se 0.0000 0.0000 0.2423
Se2 Se 0.0000 0.0000 0.4156